1.
VASP calculation (PBE) on a relaxed Tl3SiTe crystal.

abc: 6.293 6.293 6.293
angles: 90.00 90.00 90.00
Site moments in Bohr magnetons follow the coordinates.
Atoms (fractional coordinates):
Tl  0.500  0.000  0.000  0.04
Tl  0.000  0.000  0.500  0.04
Tl  0.000  0.500  0.000  0.03
Te  0.000  0.000  0.000  0.06
Si  0.500  0.500  0.500  0.56

## Properties
- Crystal system: cubic
- Space-group type: Pm-3m
- Magnetization: 2.700 μB/f.u.
- ΔE_f (raw): 802 meV/atom
- E above lowest polymorph: 3.16 eV per formula unit
- Uncorrected energy: -11.65 eV for the cell shown

---

2.
VASP calculation (PBE) on a relaxed TlSiTe2 crystal.

abc: 6.854 6.965 11.597
angles: 99.67 90.00 90.00
Atoms (fractional coordinates):
Si  0.892  0.116  0.123
Si  0.108  0.616  0.623
Si  0.108  0.884  0.877
Si  0.892  0.384  0.377
Te  0.734  0.556  0.580
Te  0.813  0.009  0.329
Te  0.813  0.491  0.171
Te  0.734  0.944  0.920
Te  0.266  0.444  0.420
Te  0.266  0.056  0.080
Te  0.187  0.509  0.829
Te  0.187  0.991  0.671
Tl  0.291  0.550  0.126
Tl  0.709  0.050  0.626
Tl  0.709  0.450  0.874
Tl  0.291  0.950  0.374

## Properties
- Crystal system: monoclinic
- Space-group type: P2/c
- Magnetization: 0.000 μB/f.u.
- ΔE_f (raw): -68 meV/atom
- Uncorrected energy: -57.38 eV for the cell shown

---

3.
VASP calculation (PBE) on a relaxed TlSiTe3 crystal.

abc: 5.716 5.716 5.716
angles: 90.00 90.00 90.00
Atoms (fractional coordinates):
Te  0.000  0.000  0.500
Te  0.500  0.000  0.000
Te  0.000  0.500  0.000
Tl  0.000  0.000  0.000
Si  0.500  0.500  0.500

## Properties
- Crystal system: cubic
- Space-group type: Pm-3m
- Magnetization: 0.000 μB/f.u.
- ΔE_f (raw): 1015 meV/atom
- Uncorrected energy: -12.14 eV for the cell shown

---

4.
VASP calculation (PBE) on a relaxed Tl2SiTe crystal.

abc: 5.884 5.884 5.884
angles: 131.40 131.40 71.17
Atoms (fractional coordinates):
Tl  0.250  0.750  0.500
Tl  0.000  0.000  0.000
Si  0.500  0.500  0.000
Te  0.750  0.250  0.500

## Properties
- Crystal system: tetragonal
- Space-group type: I-4m2
- Magnetization: 0.000 μB/f.u.
- ΔE_f (raw): 332 meV/atom
- E above lowest polymorph: 0.81 eV per formula unit
- Uncorrected energy: -11.97 eV for the cell shown

---

5.
VASP calculation (PBE) on a relaxed TlSiTe3 crystal.

abc: 5.391 5.391 5.391
angles: 90.00 90.00 90.00
Atoms (fractional coordinates):
Tl  0.500  0.500  0.500
Te  0.000  0.500  0.000
Te  0.500  0.000  0.000
Te  0.000  0.000  0.500
Si  0.000  0.000  0.000

## Properties
- Crystal system: cubic
- Space-group type: Pm-3m
- Magnetization: 0.000 μB/f.u.
- ΔE_f (raw): 172 meV/atom
- Uncorrected energy: -16.35 eV for the cell shown

---

6.
VASP calculation (PBE) on a relaxed Tl4SiTe4 crystal.

abc: 7.061 9.763 9.763
angles: 90.00 90.00 90.00
Atoms (fractional coordinates):
Te  0.704  0.285  0.500
Te  0.704  0.715  0.500
Te  0.796  0.785  0.000
Te  0.204  0.000  0.215
Te  0.204  0.000  0.785
Te  0.296  0.500  0.285
Te  0.296  0.500  0.715
Te  0.796  0.215  0.000
Si  0.000  0.000  0.000
Si  0.500  0.500  0.500
Tl  0.179  0.771  0.500
Tl  0.679  0.000  0.729
Tl  0.821  0.500  0.229
Tl  0.179  0.229  0.500
Tl  0.821  0.500  0.771
Tl  0.321  0.271  0.000
Tl  0.679  0.000  0.271
Tl  0.321  0.729  0.000

## Properties
- Crystal system: tetragonal
- Space-group type: P4_2/nmc
- Magnetization: 0.000 μB/f.u.
- ΔE_f (raw): -253 meV/atom
- Uncorrected energy: -59.46 eV for the cell shown

---

7.
VASP calculation (PBE) on a relaxed TlSiTe2 crystal.

abc: 6.619 6.619 6.619
angles: 141.34 141.34 55.82
Atoms (fractional coordinates):
Te  0.000  0.000  0.000
Te  0.250  0.750  0.500
Si  0.750  0.250  0.500
Tl  0.500  0.500  0.000

## Properties
- Crystal system: tetragonal
- Space-group type: I-4m2
- Magnetization: 0.000 μB/f.u.
- ΔE_f (raw): 375 meV/atom
- Uncorrected energy: -12.57 eV for the cell shown

---

8.
VASP calculation (PBE) on a relaxed TlSi2Te crystal.

abc: 5.547 5.547 6.835
angles: 58.89 58.89 38.45
Atoms (fractional coordinates):
Si  0.003  0.003  0.868
Si  0.497  0.497  0.632
Tl  0.250  0.250  0.250
Te  0.750  0.750  0.750

## Properties
- Crystal system: monoclinic
- Space-group type: C2/m
- Magnetization: 0.000 μB/f.u.
- ΔE_f (raw): 354 meV/atom
- E above lowest polymorph: 0.34 eV per formula unit
- Uncorrected energy: -14.94 eV for the cell shown